# 1
The following is a PBEsol calculation of crystalline TaZnSCl2 at its relaxed geometry, from Alexandria.

Geometry as POSCAR:
```
TaZnSCl2
1.0
4.823 0.000 0.000
0.000 4.823 0.000
0.000 0.000 4.724
Ta Zn S Cl
1 1 1 2
Cartesian
0.000 0.000 0.000
2.412 2.412 2.362
0.000 0.000 2.362
0.000 2.412 0.000
2.412 0.000 0.000
```

## Properties
The value obtained for the formation energy from raw total energies is -2.0 eV per formula unit.

---

# 2
The following is a PBEsol calculation of crystalline ZnTeS2Cl at its relaxed geometry, from Alexandria.

Geometry as POSCAR:
```
ZnTeS2Cl
1.0
4.703 0.000 0.000
0.000 4.703 0.000
0.000 0.000 4.523
Zn Te S Cl
1 1 2 1
Cartesian
0.000 0.000 0.000
2.351 2.351 2.261
0.000 2.351 0.000
2.351 0.000 0.000
0.000 0.000 2.261
```

## Properties
The value obtained for the formation energy from raw total energies is 0.5 eV per formula unit.

---

# 3
The following is a PBEsol calculation of crystalline TiSCl at its relaxed geometry, from Alexandria.

Geometry as POSCAR:
```
TiSCl
1.0
3.362 0.000 0.000
0.000 4.755 0.000
0.000 0.000 7.326
Ti S Cl
2 2 2
Cartesian
0.840 1.189 0.771
2.521 3.566 6.555
0.840 3.566 0.970
2.521 1.189 6.355
0.840 3.566 4.807
2.521 1.189 2.519
```

## Properties
The value obtained for the formation energy from raw total energies is -4.7 eV per formula unit.